A plane-wave DFT calculation with PBE-GGA was carried out for a relaxed PmTaAs2 crystal.

Output
The density of states at the Fermi level is 3.8 states/eV per cell. The formation energy from the elements is -369 meV/atom. The value obtained for the final energy is -27.38 eV for the cell shown. The calculated density is 9785 kg/m³.

Unit cell a=4.8803 b=4.8803 c=3.3902 alpha=90.00 beta=90.00 gamma=90.00
With the nearest neighbours (Å) after each atom.
Atoms (fractional coordinates):
Pm 0.0000 0.0000 0.0000  8 As 2.97
Ta 0.5000 0.5000 0.0000  8 As 2.97
As 0.0000 0.5000 0.5000  4 Ta 2.97, 4 Pm 2.97
As 0.5000 0.0000 0.5000  4 Ta 2.97, 4 Pm 2.97